Pm3Tm2Hg7 | PBE | optimized geometry

Lattice parameters (Å, degrees): 5.173 22.929 5.554 90.00 90.00 90.00
Space group Cmmm (No. 65)
Unique sites:
Pm: 0.000 0.000 0.000 x2
Pm: 0.000 0.170 0.000 x4
Tm: 0.000 0.358 0.500 x4
Hg: 0.000 0.076 0.500 x4
Hg: 0.000 0.224 0.500 x4
Hg: 0.000 0.412 0.000 x4
Hg: 0.000 0.500 0.500 x2

N(E_F): 15.3 states/eV per cell
DFT formation energy: -324 meV per atom

---

Pm3TmHg5 | PBE | optimized geometry

Lattice parameters (Å, degrees): 9.2225 9.2225 6.6121 90.00 90.00 120.00
Space group P6_3/mcm (No. 193)
Unique sites:
Pm: 0.0000 0.3714 0.2500 x6
Tm: 0.0000 0.0000 0.0000 x2
Hg: 0.0000 0.2926 0.7500 x6
Hg: 0.3333 0.6667 0.0000 x4

N(E_F): 17.3 states/eV per cell
DFT formation energy: -432 meV per atom

---

PmYTmHg | PBE | optimized geometry

Lattice parameters (Å, degrees): 7.692 7.692 7.692 90.00 90.00 90.00
Space group F-43m (No. 216)
Unique sites:
Pm: 0.000 0.000 0.000 x4
Y: 0.000 0.000 0.500 x4
Tm: 0.250 0.250 0.250 x4
Hg: 0.250 0.250 0.750 x4

N(E_F): 22.0 states/eV per cell
DFT formation energy: -73 meV per atom

---

PmUHg | PBE | optimized geometry

Lattice parameters (Å, degrees): 3.647 5.167 8.662 84.99 77.97 89.99
Space group P-1 (No. 2)
Unique sites:
Pm: 0.076 0.264 0.354 x2
U: 0.257 0.666 0.987 x2
Hg: 0.391 0.219 0.714 x2

N(E_F): 10.1 states/eV per cell
DFT formation energy: -47 meV per atom

---

Pm2VHg | PBE | optimized geometry

Lattice parameters (Å, degrees): 3.3820 3.3820 33.1344 90.00 90.00 120.00
Space group R-3m (No. 166, hexagonal axes)
Unique sites:
Pm: 0.0000 0.0000 0.0864 x6
V: 0.0000 0.0000 0.0000 x3
Hg: 0.0000 0.0000 0.5000 x3

N(E_F): 19.7 states/eV per cell
DFT formation energy: 515 meV per atom

---

Pm2YHg | PBE | optimized geometry

Lattice parameters (Å, degrees): 3.709 3.709 8.942 90.00 90.00 90.00
Space group P4/mmm (No. 123)
Unique sites:
Pm: 0.000 0.000 0.222 x2
Y: 0.500 0.500 0.500 x1
Hg: 0.500 0.500 0.000 x1

N(E_F): 4.7 states/eV per cell
Excess energy over the best structure of this formula in the dataset: 14 meV per atom
DFT formation energy: -219 meV per atom

---

The highest DFT formation energy belongs to which entry?
Pm2VHg